(1)
A relaxed Y2ZnSi3Pd4 crystal. Source: Alexandria, functional GGA-PBE.

Summary:
V in Å³/cell: 176.36
E_form (uncorrected) in meV per atom: -851
Size of the total moment in μB per formula unit: 0.00

Structure (CIF):
```
data_Y2ZnSi3Pd4
_cell_length_a 4.1849
_cell_length_b 4.1849
_cell_length_c 10.0697
_cell_angle_alpha 90.00
_cell_angle_beta 90.00
_cell_angle_gamma 90.00
_symmetry_space_group_name_H-M 'P -4 m 2'
_symmetry_Int_Tables_number 115
_symmetry_space_group_name_Hall 'P -4 -2'
loop_
_atom_site_label
_atom_site_type_symbol
_atom_site_fract_x
_atom_site_fract_y
_atom_site_fract_z
Y1 Y 0.0000 0.5000 0.2485
Zn1 Zn 0.5000 0.5000 0.0000
Si1 Si 0.0000 0.0000 0.0000
Si2 Si 0.0000 0.5000 0.6306
Pd1 Pd 0.0000 0.0000 0.5000
Pd2 Pd 0.0000 0.5000 0.8646
Pd3 Pd 0.5000 0.5000 0.5000
```



(2)
A relaxed Li5PaTe5 crystal. Source: Alexandria, functional GGA-PBE.

Summary:
V in Å³/cell: 652.74
E_form (uncorrected) in meV per atom: -906
Size of the total moment in μB per formula unit: 0.00

Structure (CIF):
```
data_Li5PaTe5
_cell_length_a 13.7829
_cell_length_b 5.9828
_cell_length_c 8.4156
_cell_angle_alpha 90.00
_cell_angle_beta 109.85
_cell_angle_gamma 90.00
_symmetry_space_group_name_H-M 'C 1 2/m 1'
_symmetry_Int_Tables_number 12
_symmetry_space_group_name_Hall '-C 2y'
loop_
_atom_site_label
_atom_site_type_symbol
_atom_site_fract_x
_atom_site_fract_y
_atom_site_fract_z
Li1 Li 0.0000 0.0000 0.0000
Li2 Li 0.1864 0.5000 0.8133
Li3 Li 0.1927 0.5000 0.3686
Pa1 Pa 0.0000 0.0000 0.5000
Te1 Te 0.0000 0.5000 0.5000
Te2 Te 0.1517 0.0000 0.3156
Te3 Te 0.1708 0.0000 0.8328
```



> Which of these has the lowest V?

Y2ZnSi3Pd4



> Number 2 is which compound?

Li5PaTe5



> The lowest V belongs to which entry?

Y2ZnSi3Pd4



> Number 1 is which compound?

Y2ZnSi3Pd4